Record 1
NpRePb: relaxed, PBE-GGA.

## Properties
Mass density: 14.22 g/cm³
Magnetization: 4.09 μB/cell
Raw total energy: -24.8 eV/cell

Cell lengths 4.705, 4.705, 4.705 Å; angles 60.00, 60.00, 60.00 degrees
Sites, in units of the cell vectors:
Np: 0.000 0.000 0.000
Re: 0.500 0.500 0.500
Pb: 0.250 0.250 0.250


Record 2
Er2TmMg3ZnIn2: relaxed, PBE-GGA.

## Properties
Mass density: 6.69 g/cm³
Magnetization: 0.00 μB/cell
Raw total energy: -28.0 eV/cell

Cell lengths 4.508, 7.439, 7.439 Å; angles 119.88, 90.00, 90.00 degrees
Sites, in units of the cell vectors:
Er: 0.000 0.209 0.791
Er: 0.000 0.791 0.209
Tm: 0.000 0.372 0.372
Mg: 0.500 0.026 0.026
Mg: 0.500 0.555 0.790
Mg: 0.500 0.790 0.555
Zn: 0.000 0.790 0.790
In: 0.500 0.124 0.457
In: 0.500 0.457 0.124


Record 3
SmMg8Be4: relaxed, PBE-GGA.

## Properties
Excess energy over the best structure of this formula in the dataset: 0.0 kJ per mole of atoms
Mass density: 2.67 g/cm³
Magnetization: 0.00 μB/cell

Cell lengths 7.198, 7.198, 7.198 Å; angles 97.77, 97.77, 136.85 degrees
Sites, in units of the cell vectors:
Sm: 0.000 0.000 0.000
Mg: 0.000 0.343 0.343
Mg: 0.000 0.657 0.657
Mg: 0.284 0.500 0.784
Mg: 0.343 0.000 0.343
Mg: 0.500 0.284 0.784
Mg: 0.500 0.716 0.216
Mg: 0.657 0.000 0.657
Mg: 0.716 0.500 0.216
Be: 0.000 0.000 0.500
Be: 0.000 0.500 0.000
Be: 0.500 0.000 0.000
Be: 0.500 0.500 0.500


Record 4
RbBeRe: relaxed, PBE-GGA.

## Properties
Excess energy over the best structure of this formula in the dataset: 78.9 kJ per mole of atoms
Mass density: 4.47 g/cm³
Magnetization: 3.98 μB/cell

Cell lengths 5.282, 5.282, 5.282 Å; angles 60.00, 60.00, 60.00 degrees
Sites, in units of the cell vectors:
Rb: 0.000 0.000 0.000
Be: 0.750 0.750 0.750
Re: 0.250 0.250 0.250


Record 5
PrNdCd2Au4: relaxed, PBE-GGA.

## Properties
Formation energy: -5.17 eV/f.u.
Mass density: 11.82 g/cm³
Magnetization: 0.00 μB/cell

Cell lengths 5.050, 5.050, 7.147 Å; angles 90.00, 90.00, 90.00 degrees
Sites, in units of the cell vectors:
Pr: 0.000 0.000 0.000
Nd: 0.500 0.500 0.500
Cd: 0.000 0.000 0.500
Cd: 0.500 0.500 0.000
Au: 0.000 0.500 0.251
Au: 0.000 0.500 0.749
Au: 0.500 0.000 0.251
Au: 0.500 0.000 0.749


Record 6
GdDyAs: relaxed, PBE-GGA.

## Properties
Excess energy over the best structure of this formula in the dataset: 0.0 kJ per mole of atoms
Mass density: 8.19 g/cm³
Magnetization: 0.03 μB/cell

Cell lengths 4.837, 4.837, 4.837 Å; angles 60.00, 60.00, 60.00 degrees
Sites, in units of the cell vectors:
Gd: 0.000 0.000 0.000
Dy: 0.500 0.500 0.500
As: 0.750 0.750 0.750


Record 7
ZrScCuNi: relaxed, PBE-GGA.

## Properties
Excess energy over the best structure of this formula in the dataset: 18.0 kJ per mole of atoms
Formation energy: -0.48 eV/f.u.
Mass density: 6.87 g/cm³
Magnetization: 0.00 μB/cell

Cell lengths 4.453, 4.453, 4.453 Å; angles 60.00, 60.00, 60.00 degrees
Sites, in units of the cell vectors:
Zr: 0.000 0.000 0.000
Sc: 0.750 0.750 0.750
Cu: 0.500 0.500 0.500
Ni: 0.250 0.250 0.250


Record 8
LiScTlAg: relaxed, PBE-GGA.

## Properties
Excess energy over the best structure of this formula in the dataset: 1.8 kJ per mole of atoms
Mass density: 7.92 g/cm³
Magnetization: 0.00 μB/cell

Cell lengths 4.761, 4.761, 4.761 Å; angles 60.00, 60.00, 60.00 degrees
Sites, in units of the cell vectors:
Li: 0.000 0.000 0.000
Sc: 0.750 0.750 0.750
Tl: 0.250 0.250 0.250
Ag: 0.500 0.500 0.500


Record 9
TbZnIr: relaxed, PBE-GGA.

## Properties
Formation energy: -1.40 eV/f.u.
Mass density: 10.45 g/cm³
Magnetization: 0.00 μB/cell

Cell lengths 4.540, 4.540, 4.540 Å; angles 60.00, 60.00, 60.00 degrees
Sites, in units of the cell vectors:
Tb: 0.000 0.000 0.000
Zn: 0.500 0.500 0.500
Ir: 0.250 0.250 0.250


Record 10
KErMgS3: relaxed, PBE-GGA.

## Properties
Mass density: 3.49 g/cm³
Magnetization: 0.00 μB/cell
Raw total energy: -59.2 eV/cell

Cell lengths 7.452, 7.452, 10.688 Å; angles 90.00, 90.00, 148.44 degrees
Sites, in units of the cell vectors:
K: 0.244 0.756 0.750
K: 0.756 0.244 0.250
Er: 0.500 0.500 0.000
Er: 0.500 0.500 0.500
Mg: 0.034 0.966 0.250
Mg: 0.966 0.034 0.750
S: 0.120 0.880 0.059
S: 0.120 0.880 0.441
S: 0.437 0.563 0.250
S: 0.563 0.437 0.750
S: 0.880 0.120 0.559
S: 0.880 0.120 0.941


Record 11
Er3Tm3BiTeOs: relaxed, PBE-GGA.

## Properties
Mass density: 10.61 g/cm³
Magnetization: 0.05 μB/cell
Raw total energy: -51.3 eV/cell

Cell lengths 8.202, 8.202, 4.126 Å; angles 90.00, 90.00, 120.00 degrees
Sites, in units of the cell vectors:
Er: 0.053 0.718 0.000
Er: 0.282 0.336 0.000
Er: 0.664 0.947 0.000
Tm: 0.432 0.098 0.500
Tm: 0.665 0.568 0.500
Tm: 0.902 0.335 0.500
Bi: 0.000 0.000 0.500
Te: 0.333 0.667 0.500
Os: 0.667 0.333 0.000


Record 12
ErSF: relaxed, PBE-GGA.

## Properties
Mass density: 5.75 g/cm³
Magnetization: 0.00 μB/cell
Raw total energy: -38.6 eV/cell

Cell lengths 3.694, 5.265, 6.484 Å; angles 90.00, 90.00, 90.00 degrees
Sites, in units of the cell vectors:
Er: 0.250 0.250 0.181
Er: 0.750 0.750 0.819
S: 0.250 0.750 0.132
S: 0.750 0.250 0.868
F: 0.250 0.750 0.641
F: 0.750 0.250 0.359


Record 13
SnOsPb2O6: relaxed, PBE-GGA.

## Properties
Excess energy over the best structure of this formula in the dataset: 4.0 kJ per mole of atoms
Mass density: 10.32 g/cm³
Magnetization: 2.05 μB/cell

Cell lengths 5.715, 5.715, 5.715 Å; angles 120.11, 120.11, 89.80 degrees
Sites, in units of the cell vectors:
Sn: 0.000 0.000 0.000
Os: 0.500 0.500 0.000
Pb: 0.250 0.750 0.500
Pb: 0.750 0.250 0.500
O: 0.253 0.253 0.000
O: 0.253 0.253 0.506
O: 0.253 0.747 0.000
O: 0.747 0.253 0.000
O: 0.747 0.747 0.000
O: 0.747 0.747 0.494


Record 14
GdTlInSe3: relaxed, PBE-GGA.

## Properties
Mass density: 6.70 g/cm³
Magnetization: 0.01 μB/cell
Raw total energy: -51.8 eV/cell

Cell lengths 7.680, 7.680, 11.507 Å; angles 90.00, 90.00, 148.59 degrees
Sites, in units of the cell vectors:
Gd: 0.000 0.000 0.000
Gd: 0.000 0.000 0.500
Tl: 0.300 0.700 0.750
Tl: 0.700 0.300 0.250
In: 0.386 0.614 0.250
In: 0.614 0.386 0.750
Se: 0.016 0.984 0.250
Se: 0.364 0.636 0.011
Se: 0.364 0.636 0.489
Se: 0.636 0.364 0.511
Se: 0.636 0.364 0.989
Se: 0.984 0.016 0.750


Record 15
SmTlMo: relaxed, PBE-GGA.

## Properties
Excess energy over the best structure of this formula in the dataset: 0.0 kJ per mole of atoms
Mass density: 9.19 g/cm³
Magnetization: 1.45 μB/cell

Cell lengths 4.865, 4.865, 4.865 Å; angles 60.00, 60.00, 60.00 degrees
Sites, in units of the cell vectors:
Sm: 0.000 0.000 0.000
Tl: 0.750 0.750 0.750
Mo: 0.500 0.500 0.500


Record 16
CdCuIrW: relaxed, PBE-GGA.

## Properties
Excess energy over the best structure of this formula in the dataset: 8.3 kJ per mole of atoms
Formation energy: 1.38 eV/f.u.
Mass density: 14.83 g/cm³
Magnetization: 0.00 μB/cell

Cell lengths 4.438, 4.438, 4.438 Å; angles 60.00, 60.00, 60.00 degrees
Sites, in units of the cell vectors:
Cd: 0.000 0.000 0.000
Cu: 0.750 0.750 0.750
Ir: 0.500 0.500 0.500
W: 0.250 0.250 0.250


Record 17
Pr2Tl8Ni: relaxed, PBE-GGA.

## Properties
Mass density: 11.02 g/cm³
Magnetization: 0.00 μB/cell
Raw total energy: -36.1 eV/cell

Cell lengths 4.832, 4.832, 12.756 Å; angles 90.00, 90.00, 90.00 degrees
Sites, in units of the cell vectors:
Pr: 0.000 0.000 0.195
Pr: 0.000 0.000 0.805
Tl: 0.000 0.500 0.000
Tl: 0.000 0.500 0.380
Tl: 0.000 0.500 0.620
Tl: 0.500 0.000 0.000
Tl: 0.500 0.000 0.380
Tl: 0.500 0.000 0.620
Tl: 0.500 0.500 0.188
Tl: 0.500 0.500 0.812
Ni: 0.000 0.000 0.500


Record 18
NiPd: relaxed, PBE-GGA.

## Properties
Formation energy: 1.12 eV/f.u.
Mass density: 9.21 g/cm³
Magnetization: 0.75 μB/cell

Cell lengths 3.479, 3.479, 3.479 Å; angles 60.00, 60.00, 60.00 degrees
Sites, in units of the cell vectors:
Ni: 0.000 0.000 0.000
Pd: 0.500 0.500 0.500


Record 19
BaAgO3: relaxed, PBE-GGA.

## Properties
Mass density: 6.77 g/cm³
Raw total energy: -49.2 eV/cell

Cell lengths 5.838, 5.838, 5.838 Å; angles 60.98, 60.98, 60.98 degrees
Sites, in units of the cell vectors:
Ba: 0.250 0.250 0.250
Ba: 0.750 0.750 0.750
Ag: 0.000 0.000 0.000
Ag: 0.500 0.500 0.500
O: 0.207 0.750 0.293
O: 0.250 0.707 0.793
O: 0.293 0.207 0.750
O: 0.707 0.793 0.250
O: 0.750 0.293 0.207
O: 0.793 0.250 0.707


Record 20
Hf3Ta2Ga3: relaxed, PBE-GGA.

## Properties
Mass density: 12.43 g/cm³
Magnetization: 0.00 μB/cell
Raw total energy: -132.2 eV/cell

Cell lengths 7.910, 7.910, 5.455 Å; angles 90.00, 90.00, 120.00 degrees
Sites, in units of the cell vectors:
Hf: 0.000 0.247 0.250
Hf: 0.000 0.753 0.750
Hf: 0.247 0.000 0.250
Hf: 0.247 0.247 0.750
Hf: 0.753 0.000 0.750
Hf: 0.753 0.753 0.250
Ta: 0.333 0.667 0.000
Ta: 0.333 0.667 0.500
Ta: 0.667 0.333 0.000
Ta: 0.667 0.333 0.500
Ga: 0.000 0.396 0.750
Ga: 0.000 0.604 0.250
Ga: 0.396 0.000 0.750
Ga: 0.396 0.396 0.250
Ga: 0.604 0.000 0.250
Ga: 0.604 0.604 0.750


Record 21
Ni8N: relaxed, PBE-GGA.

## Properties
Mass density: 6.62 g/cm³
Magnetization: 5.96 μB/cell
Raw total energy: -42.6 eV/cell

Cell lengths 7.734, 7.734, 2.342 Å; angles 90.00, 90.00, 120.00 degrees
Sites, in units of the cell vectors:
Ni: 0.167 0.334 0.000
Ni: 0.167 0.833 0.000
Ni: 0.333 0.667 0.000
Ni: 0.334 0.167 0.000
Ni: 0.666 0.833 0.000
Ni: 0.667 0.333 0.000
Ni: 0.833 0.167 0.000
Ni: 0.833 0.666 0.000
N: 0.000 0.000 0.500


Record 22
SrErTe3Au: relaxed, PBE-GGA.

## Properties
Mass density: 7.42 g/cm³
Magnetization: 0.00 μB/cell
Raw total energy: -51.5 eV/cell

Cell lengths 10.143, 10.143, 8.836 Å; angles 100.26, 100.26, 24.71 degrees
Sites, in units of the cell vectors:
Sr: 0.124 0.124 0.080
Sr: 0.876 0.876 0.920
Er: 0.161 0.161 0.594
Er: 0.839 0.839 0.406
Te: 0.000 0.000 0.500
Te: 0.312 0.312 0.154
Te: 0.323 0.323 0.638
Te: 0.500 0.500 0.000
Te: 0.677 0.677 0.362
Te: 0.688 0.688 0.846
Au: 0.448 0.448 0.289
Au: 0.552 0.552 0.711


Record 23
PmYIn: relaxed, PBE-GGA.

## Properties
Excess energy over the best structure of this formula in the dataset: 0.0 kJ per mole of atoms
Mass density: 5.68 g/cm³
Magnetization: 0.23 μB/cell

Cell lengths 5.244, 5.244, 5.244 Å; angles 60.00, 60.00, 60.00 degrees
Sites, in units of the cell vectors:
Pm: 0.000 0.000 0.000
Y: 0.500 0.500 0.500
In: 0.250 0.250 0.250


Record 24
Y6Ho2S: relaxed, PBE-GGA.

## Properties
Mass density: 5.61 g/cm³
Magnetization: 0.03 μB/cell
Raw total energy: -55.6 eV/cell

Cell lengths 9.021, 9.021, 3.760 Å; angles 90.00, 90.00, 120.00 degrees
Sites, in units of the cell vectors:
Y: 0.000 0.243 0.000
Y: 0.000 0.601 0.500
Y: 0.243 0.000 0.000
Y: 0.399 0.399 0.500
Y: 0.601 0.000 0.500
Y: 0.757 0.757 0.000
Ho: 0.333 0.667 0.000
Ho: 0.667 0.333 0.000
S: 0.000 0.000 0.500


Record 25
Tm2Ir5C4: relaxed, PBE-GGA.

## Properties
Mass density: 14.94 g/cm³
Magnetization: 0.00 μB/cell
Raw total energy: -87.6 eV/cell

Cell lengths 7.615, 6.523, 5.430 Å; angles 78.57, 57.09, 44.34 degrees
Sites, in units of the cell vectors:
Tm: 0.142 0.142 0.858
Tm: 0.858 0.858 0.142
Ir: 0.000 0.000 0.500
Ir: 0.250 0.250 0.250
Ir: 0.500 0.500 0.000
Ir: 0.500 0.500 0.500
Ir: 0.750 0.750 0.750
C: 0.212 0.534 0.466
C: 0.466 0.788 0.212
C: 0.534 0.212 0.788
C: 0.788 0.466 0.534